Model a:
This record from Alexandria via LeMat-Bulk describes a relaxed AcNdGeIr crystal. The functional is PBE.

Output
For the calculated density, the calculation gives 9.33 Mg/m³. As for the total magnetization: 0.0 μB per cell.

Unit cell a=4.423 b=4.423 c=11.579 alpha=90.00 beta=90.00 gamma=90.00
Space group P4/nmm (No. 129, origin choice 2)
One atom of each set of equivalent atoms:
Ac: 0.250 0.250 0.156 (multiplicity 2)
Nd: 0.250 0.750 0.500 (multiplicity 2)
Ge: 0.250 0.250 0.685 (multiplicity 2)
Ir: 0.250 0.250 0.890 (multiplicity 2)

Model b:
This record from Alexandria via LeMat-Bulk describes a relaxed AcNdGeIr crystal. The functional is PBE.

Output
For the calculated density, the calculation gives 10.23 Mg/m³. As for the total magnetization: 0.0 μB per cell.

Unit cell a=7.448 b=7.448 c=7.448 alpha=90.00 beta=90.00 gamma=90.00
Space group F-43m (No. 216)
One atom of each set of equivalent atoms:
Ac: 0.000 0.000 0.000 (multiplicity 4)
Nd: 0.000 0.000 0.500 (multiplicity 4)
Ge: 0.250 0.250 0.250 (multiplicity 4)
Ir: 0.250 0.250 0.750 (multiplicity 4)

model b ends up most stable, edging out the next structure by 198 meV/atom.

Model a:
This record from Alexandria via LeMat-Bulk describes a relaxed AcPrGeIr crystal. The functional is PBE.

Output
For the calculated density, the calculation gives 10.07 Mg/m³. As for the total magnetization: 0.0 μB per cell.

Unit cell a=7.474 b=7.474 c=7.474 alpha=90.00 beta=90.00 gamma=90.00
Space group F-43m (No. 216)
One atom of each set of equivalent atoms:
Ac: 0.000 0.000 0.000 (multiplicity 4)
Pr: 0.000 0.000 0.500 (multiplicity 4)
Ge: 0.250 0.250 0.750 (multiplicity 4)
Ir: 0.250 0.250 0.250 (multiplicity 4)

Model b:
This record from Alexandria via LeMat-Bulk describes a relaxed AcPrGeIr crystal. The functional is PBE.

Output
For the calculated density, the calculation gives 9.19 Mg/m³. As for the total magnetization: 0.0 μB per cell.

Unit cell a=4.437 b=4.437 c=11.619 alpha=90.00 beta=90.00 gamma=90.00
Space group P4/nmm (No. 129, origin choice 2)
One atom of each set of equivalent atoms:
Ac: 0.250 0.250 0.155 (multiplicity 2)
Pr: 0.250 0.750 0.500 (multiplicity 2)
Ge: 0.250 0.250 0.687 (multiplicity 2)
Ir: 0.250 0.250 0.890 (multiplicity 2)

model a ends up most stable, edging out the next structure by 198 meV/atom.

Model a:
This record from Alexandria via LeMat-Bulk describes a relaxed AcSmGeIr crystal. The functional is PBE.

Output
For the calculated density, the calculation gives 10.50 Mg/m³. As for the total magnetization: 0.0 μB per cell.

Unit cell a=7.406 b=7.406 c=7.406 alpha=90.00 beta=90.00 gamma=90.00
Space group F-43m (No. 216)
One atom of each set of equivalent atoms:
Ac: 0.000 0.000 0.000 (multiplicity 4)
Sm: 0.000 0.000 0.500 (multiplicity 4)
Ge: 0.250 0.250 0.750 (multiplicity 4)
Ir: 0.250 0.250 0.250 (multiplicity 4)

Model b:
This record from Alexandria via LeMat-Bulk describes a relaxed AcSmGeIr crystal. The functional is PBE.

Output
For the calculated density, the calculation gives 9.55 Mg/m³. As for the total magnetization: 0.0 μB per cell.

Unit cell a=4.406 b=4.406 c=11.503 alpha=90.00 beta=90.00 gamma=90.00
Space group P4/nmm (No. 129, origin choice 2)
One atom of each set of equivalent atoms:
Ac: 0.250 0.250 0.158 (multiplicity 2)
Sm: 0.250 0.750 0.500 (multiplicity 2)
Ge: 0.250 0.250 0.682 (multiplicity 2)
Ir: 0.250 0.250 0.889 (multiplicity 2)

model a ends up most stable, edging out the next structure by 201 meV/atom.

Model a:
This record from Alexandria via LeMat-Bulk describes a relaxed AcTbGeIr crystal. The functional is PBE.

Output
For the calculated density, the calculation gives 9.51 Mg/m³. As for the total magnetization: 0.0 μB per cell.

Unit cell a=4.703 b=4.703 c=10.279 alpha=90.00 beta=90.00 gamma=90.00
Space group P4/nmm (No. 129, origin choice 2)
One atom of each set of equivalent atoms:
Ac: 0.250 0.250 0.186 (multiplicity 2)
Tb: 0.250 0.750 0.500 (multiplicity 2)
Ge: 0.250 0.250 0.888 (multiplicity 2)
Ir: 0.250 0.250 0.656 (multiplicity 2)

Model b:
This record from Alexandria via LeMat-Bulk describes a relaxed AcTbGeIr crystal. The functional is PBE.

Output
For the calculated density, the calculation gives 10.88 Mg/m³. As for the total magnetization: 0.0 μB per cell.

Unit cell a=7.351 b=7.351 c=7.351 alpha=90.00 beta=90.00 gamma=90.00
Space group F-43m (No. 216)
One atom of each set of equivalent atoms:
Ac: 0.000 0.000 0.000 (multiplicity 4)
Tb: 0.000 0.000 0.500 (multiplicity 4)
Ge: 0.250 0.250 0.750 (multiplicity 4)
Ir: 0.250 0.250 0.250 (multiplicity 4)

model a ends up most stable, edging out the next structure by 94 meV/atom.

Model a:
This record from Alexandria via LeMat-Bulk describes a relaxed AcLa2Ge crystal. The functional is PBE.

Output
For the calculated density, the calculation gives 6.33 Mg/m³. As for the total magnetization: 0.0 μB per cell.

Unit cell a=4.2399 b=4.2399 c=29.1809 alpha=90.00 beta=90.00 gamma=120.00
Space group R3m (No. 160, hexagonal axes)
One atom of each set of equivalent atoms:
Ac: 0.0000 0.0000 0.0000 (multiplicity 3)
La: 0.0000 0.0000 0.5583 (multiplicity 3)
La: 0.0000 0.0000 0.7722 (multiplicity 3)
Ge: 0.0000 0.0000 0.1647 (multiplicity 3)

Model b:
This record from Alexandria via LeMat-Bulk describes a relaxed AcLa2Ge crystal. The functional is PBE.

Output
For the calculated density, the calculation gives 5.91 Mg/m³. As for the total magnetization: 0.0 μB per cell.

Unit cell a=4.1256 b=4.1256 c=33.0443 alpha=90.00 beta=90.00 gamma=120.00
Space group R-3m (No. 166, hexagonal axes)
One atom of each set of equivalent atoms:
Ac: 0.0000 0.0000 0.0000 (multiplicity 3)
La: 0.0000 0.0000 0.1136 (multiplicity 6)
Ge: 0.0000 0.0000 0.5000 (multiplicity 3)

model a ends up most stable, edging out the next structure by 152 meV/atom.

Model a:
This record from Alexandria via LeMat-Bulk describes a relaxed Ac2LaGe2 crystal. The functional is PBE.

Output
For the calculated density, the calculation gives 7.65 Mg/m³. As for the total magnetization: 0.0 μB per cell.

Unit cell a=13.314 b=4.657 c=11.593 alpha=90.00 beta=116.90 gamma=90.00
Space group C2/m (No. 12)
One atom of each set of equivalent atoms:
Ac: 0.015 0.000 0.189 (multiplicity 4)
Ac: 0.179 0.000 0.588 (multiplicity 4)
La: 0.224 0.500 0.866 (multiplicity 4)
Ge: 0.010 0.500 0.393 (multiplicity 4)
Ge: 0.110 0.500 0.056 (multiplicity 4)

Model b:
This record from Alexandria via LeMat-Bulk describes a relaxed Ac2LaGe2 crystal. The functional is PBE.

Output
For the calculated density, the calculation gives 7.80 Mg/m³. As for the total magnetization: 0.3 μB per cell.

Unit cell a=8.197 b=8.197 c=4.681 alpha=90.00 beta=90.00 gamma=90.00
Space group P4/mbm (No. 127)
One atom of each set of equivalent atoms:
Ac: 0.174 0.326 0.000 (multiplicity 4)
La: 0.000 0.000 0.500 (multiplicity 2)
Ge: 0.118 0.618 0.500 (multiplicity 4)

model b ends up most stable, edging out the next structure by 36 meV/atom.

Model a:
This record from Alexandria via LeMat-Bulk describes a relaxed AcLaGeRh crystal. The functional is PBE.

Output
For the calculated density, the calculation gives 8.52 Mg/m³. As for the total magnetization: 0.0 μB per cell.

Unit cell a=7.502 b=7.502 c=7.502 alpha=90.00 beta=90.00 gamma=90.00
Space group F-43m (No. 216)
One atom of each set of equivalent atoms:
Ac: 0.000 0.000 0.000 (multiplicity 4)
La: 0.000 0.000 0.500 (multiplicity 4)
Ge: 0.250 0.250 0.750 (multiplicity 4)
Rh: 0.250 0.250 0.250 (multiplicity 4)

Model b:
This record from Alexandria via LeMat-Bulk describes a relaxed AcLaGeRh crystal. The functional is PBE.

Output
For the calculated density, the calculation gives 7.30 Mg/m³. As for the total magnetization: 0.0 μB per cell.

Unit cell a=4.876 b=4.876 c=10.362 alpha=90.00 beta=90.00 gamma=90.00
Space group P4/nmm (No. 129, origin choice 2)
One atom of each set of equivalent atoms:
Ac: 0.250 0.250 0.161 (multiplicity 2)
La: 0.250 0.750 0.500 (multiplicity 2)
Ge: 0.250 0.250 0.866 (multiplicity 2)
Rh: 0.250 0.250 0.636 (multiplicity 2)

model a ends up most stable, edging out the next structure by 40 meV/atom.

Model a:
This record from Alexandria via LeMat-Bulk describes a relaxed AcLaSiGe crystal. The functional is PBE.

Output
For the calculated density, the calculation gives 6.95 Mg/m³. As for the total magnetization: 0.3 μB per cell.

Unit cell a=4.131 b=4.680 c=11.542 alpha=90.00 beta=90.00 gamma=90.00
Space group Amm2 (No. 38)
One atom of each set of equivalent atoms:
Ac: 0.000 0.000 0.000 (multiplicity 2)
La: 0.500 0.000 0.720 (multiplicity 2)
Si: 0.000 0.000 0.283 (multiplicity 2)
Ge: 0.500 0.000 0.424 (multiplicity 2)

Model b:
This record from Alexandria via LeMat-Bulk describes a relaxed AcLaSiGe crystal. The functional is PBE.

Output
For the calculated density, the calculation gives 6.98 Mg/m³. As for the total magnetization: 0.0 μB per cell.

Unit cell a=7.629 b=7.629 c=7.629 alpha=90.00 beta=90.00 gamma=90.00
Space group F-43m (No. 216)
One atom of each set of equivalent atoms:
Ac: 0.000 0.000 0.000 (multiplicity 4)
La: 0.000 0.000 0.500 (multiplicity 4)
Si: 0.250 0.250 0.250 (multiplicity 4)
Ge: 0.250 0.250 0.750 (multiplicity 4)

model a ends up most stable, edging out the next structure by 241 meV/atom.

Model a:
This record from Alexandria via LeMat-Bulk describes a relaxed AcLaZnGe crystal. The functional is PBE.

Output
For the calculated density, the calculation gives 7.30 Mg/m³. As for the total magnetization: 0.0 μB per cell.

Unit cell a=4.286 b=4.510 c=11.860 alpha=90.00 beta=90.00 gamma=90.00
Space group Amm2 (No. 38)
One atom of each set of equivalent atoms:
Ac: 0.000 0.000 0.000 (multiplicity 2)
La: 0.500 0.000 0.287 (multiplicity 2)
Zn: 0.500 0.000 0.585 (multiplicity 2)
Ge: 0.000 0.000 0.720 (multiplicity 2)

Model b:
This record from Alexandria via LeMat-Bulk describes a relaxed AcLaZnGe crystal. The functional is PBE.

Output
For the calculated density, the calculation gives 7.47 Mg/m³. As for the total magnetization: 0.0 μB per cell.

Unit cell a=7.652 b=7.652 c=7.652 alpha=90.00 beta=90.00 gamma=90.00
Space group F-43m (No. 216)
One atom of each set of equivalent atoms:
Ac: 0.000 0.000 0.000 (multiplicity 4)
La: 0.000 0.000 0.500 (multiplicity 4)
Zn: 0.250 0.250 0.250 (multiplicity 4)
Ge: 0.250 0.250 0.750 (multiplicity 4)

model a ends up most stable, edging out the next structure by 83 meV/atom.

Model a:
This record from Alexandria via LeMat-Bulk describes a relaxed LiAcGe3 crystal. The functional is PBE.

Output
For the calculated density, the calculation gives 6.81 Mg/m³. As for the total magnetization: 0.0 μB per cell.

Unit cell a=4.794 b=4.794 c=4.794 alpha=90.00 beta=90.00 gamma=90.00
Space group Pm-3m (No. 221)
One atom of each set of equivalent atoms:
Li: 0.000 0.000 0.000 (multiplicity 1)
Ac: 0.500 0.500 0.500 (multiplicity 1)
Ge: 0.000 0.000 0.500 (multiplicity 3)

Model b:
This record from Alexandria via LeMat-Bulk describes a relaxed LiAcGe3 crystal. The functional is PBE.

Output
For the calculated density, the calculation gives 6.31 Mg/m³. As for the total magnetization: 0.0 μB per cell.

Unit cell a=4.428 b=26.231 c=4.098 alpha=90.00 beta=90.00 gamma=90.00
Space group Cmcm (No. 63)
One atom of each set of equivalent atoms:
Li: 0.000 0.203 0.250 (multiplicity 4)
Ac: 0.000 0.080 0.750 (multiplicity 4)
Ge: 0.000 0.306 0.250 (multiplicity 4)
Ge: 0.000 0.364 0.750 (multiplicity 4)
Ge: 0.000 0.471 0.750 (multiplicity 4)

model b ends up most stable, edging out the next structure by 226 meV/atom.

Model a:
This record from Alexandria via LeMat-Bulk describes a relaxed LiAcGe2 crystal. The functional is PBE.

Output
For the calculated density, the calculation gives 6.83 Mg/m³. As for the total magnetization: 0.0 μB per cell.

Unit cell a=4.3593 b=4.3593 c=16.8090 alpha=90.00 beta=90.00 gamma=120.00
Space group R-3m (No. 166, hexagonal axes)
One atom of each set of equivalent atoms:
Li: 0.0000 0.0000 0.0000 (multiplicity 3)
Ac: 0.0000 0.0000 0.5000 (multiplicity 3)
Ge: 0.0000 0.0000 0.2905 (multiplicity 6)

Model b:
This record from Alexandria via LeMat-Bulk describes a relaxed LiAcGe2 crystal. The functional is PBE.

Output
For the calculated density, the calculation gives 6.45 Mg/m³. As for the total magnetization: 0.0 μB per cell.

Unit cell a=4.633 b=4.633 c=4.545 alpha=90.00 beta=90.00 gamma=90.00
Space group P4/mmm (No. 123)
One atom of each set of equivalent atoms:
Li: 0.000 0.000 0.000 (multiplicity 1)
Ac: 0.500 0.500 0.000 (multiplicity 1)
Ge: 0.000 0.500 0.500 (multiplicity 2)

Model c:
This record from Alexandria via LeMat-Bulk describes a relaxed LiAcGe2 crystal. The functional is PBE.

Output
For the calculated density, the calculation gives 6.90 Mg/m³. As for the total magnetization: 0.0 μB per cell.

Unit cell a=3.632 b=3.632 c=6.920 alpha=90.00 beta=90.00 gamma=90.00
Space group P4/mmm (No. 123)
One atom of each set of equivalent atoms:
Li: 0.000 0.000 0.000 (multiplicity 1)
Ac: 0.000 0.000 0.500 (multiplicity 1)
Ge: 0.500 0.500 0.187 (multiplicity 2)

Model d:
This record from Alexandria via LeMat-Bulk describes a relaxed LiAcGe2 crystal. The functional is PBE.

Output
For the calculated density, the calculation gives 6.74 Mg/m³. As for the total magnetization: 0.0 μB per cell.

Unit cell a=7.986 b=4.165 c=11.234 alpha=90.00 beta=90.00 gamma=90.00
Space group Pnma (No. 62)
One atom of each set of equivalent atoms:
Li: 0.004 0.250 0.116 (multiplicity 4)
Ac: 0.141 0.750 0.369 (multiplicity 4)
Ge: 0.165 0.750 0.679 (multiplicity 4)
Ge: 0.207 0.750 0.072 (multiplicity 4)

model d ends up most stable, edging out the next structure by 159 meV/atom.

Model a:
This record from Alexandria via LeMat-Bulk describes a relaxed LiAc3Ge3 crystal. The functional is PBE.

Output
For the calculated density, the calculation gives 7.64 Mg/m³. As for the total magnetization: 1.6 μB per cell.

Unit cell a=11.833 b=4.685 c=15.145 alpha=90.00 beta=110.26 gamma=90.00
Space group C2/m (No. 12)
One atom of each set of equivalent atoms:
Li: 0.246 0.000 0.412 (multiplicity 4)
Ac: 0.031 0.500 0.381 (multiplicity 4)
Ac: 0.104 0.500 0.923 (multiplicity 4)
Ac: 0.247 0.500 0.227 (multiplicity 4)
Ge: 0.042 0.000 0.229 (multiplicity 4)
Ge: 0.108 0.000 0.076 (multiplicity 4)
Ge: 0.125 0.000 0.547 (multiplicity 4)

Model b:
This record from Alexandria via LeMat-Bulk describes a relaxed LiAc3Ge3 crystal. The functional is PBE.

Output
For the calculated density, the calculation gives 6.17 Mg/m³. As for the total magnetization: 0.0 μB per cell.

Unit cell a=9.4189 b=9.4189 c=6.3417 alpha=90.00 beta=90.00 gamma=120.00
Space group P6_3/m (No. 176)
One atom of each set of equivalent atoms:
Li: 0.3333 0.6667 0.2500 (multiplicity 2)
Ac: 0.0498 0.7039 0.7500 (multiplicity 6)
Ge: 0.0491 0.6705 0.2500 (multiplicity 6)

model a ends up most stable, edging out the next structure by 209 meV/atom.